(1)
# Rb3ZnCl6

A relaxed structure of Rb3ZnCl6 (PBE, the Alexandria database). Values from VASP.

Values from the calculation:
- N(E_F) (states/eV per cell) = 12.19
- uncorrected energy (eV per atom) = -3.03

Structure (Quantum ESPRESSO input):
```
&SYSTEM
  ibrav = 0, nat = 20, ntyp = 3
/
ATOMIC_SPECIES
Rb 85.47 Rb.upf
Zn 65.41 Zn.upf
Cl 35.45 Cl.upf
ATOMIC_POSITIONS angstrom
Rb 7.0254 6.9896 2.8811
Rb 4.4364 2.2362 3.0186
Rb 4.4364 -2.2362 0.1375
Rb 9.6143 2.2362 3.0186
Rb 9.6143 -2.2362 0.1375
Rb 7.0254 -6.9896 0.0000
Zn 7.0254 3.8004 0.4296
Zn 7.0254 -3.8004 3.3107
Cl 5.1036 4.8936 1.0685
Cl 2.3080 0.0252 1.5183
Cl 2.3080 -0.0252 4.3994
Cl 7.0254 3.9247 3.9243
Cl 8.9471 4.8936 1.0685
Cl 7.0254 1.5825 0.9710
Cl 7.0254 -1.5825 3.8522
Cl 5.1036 -4.8936 3.9496
Cl 7.0254 -3.9247 1.0431
Cl 11.7427 0.0252 1.5183
Cl 11.7427 -0.0252 4.3994
Cl 8.9471 -4.8936 3.9496
CELL_PARAMETERS angstrom
7.0254 -9.0837 0.0000
7.0254 9.0837 0.0000
0.0000 0.0000 5.7623
```



(2)
# RbZn2Cl

A relaxed structure of RbZn2Cl (PBE, the Alexandria database). Values from VASP.

Values from the calculation:
- N(E_F) (states/eV per cell) = 0.00
- uncorrected energy (eV per atom) = -1.70
- offset from the most stable computed form (meV/atom) = 0.0

Structure (Quantum ESPRESSO input):
```
&SYSTEM
  ibrav = 0, nat = 16, ntyp = 3
/
ATOMIC_SPECIES
Rb 85.47 Rb.upf
Zn 65.41 Zn.upf
Cl 35.45 Cl.upf
ATOMIC_POSITIONS angstrom
Rb 0.0000 0.0000 0.0000
Rb 0.0000 4.7537 1.5467
Rb 4.7537 0.0000 4.6402
Rb 4.7537 4.7537 3.0934
Zn 2.0640 2.3769 3.8668
Zn 2.3769 6.8177 5.4135
Zn 2.3769 7.4434 2.3201
Zn 2.6897 2.3769 0.7734
Zn 6.8177 7.1306 0.7734
Zn 7.1306 2.0640 2.3201
Zn 7.1306 2.6897 5.4135
Zn 7.4434 7.1306 3.8668
Cl 0.0000 0.0000 3.0934
Cl 0.0000 4.7537 4.6402
Cl 4.7537 0.0000 1.5467
Cl 4.7537 4.7537 0.0000
CELL_PARAMETERS angstrom
9.5074 0.0000 0.0000
0.0000 9.5074 0.0000
0.0000 0.0000 6.1869
```



(3)
# Rb2ZnCl7

A relaxed structure of Rb2ZnCl7 (PBE, the Alexandria database). Values from VASP.

Values from the calculation:
- N(E_F) (states/eV per cell) = 8.20
- uncorrected energy (eV per atom) = -2.58

Structure (Quantum ESPRESSO input):
```
&SYSTEM
  ibrav = 0, nat = 10, ntyp = 3
/
ATOMIC_SPECIES
Rb 85.47 Rb.upf
Zn 65.41 Zn.upf
Cl 35.45 Cl.upf
ATOMIC_POSITIONS angstrom
Rb 3.9329 0.0000 2.2735
Rb 0.0000 3.9329 2.2735
Zn 0.0000 0.0000 0.0000
Cl 1.6972 1.6972 0.0000
Cl 2.2357 -2.2357 4.5469
Cl 0.0000 0.0000 2.3760
Cl 0.0000 0.0000 4.5469
Cl 0.0000 0.0000 6.7178
Cl -2.2357 2.2357 4.5469
Cl 2.2357 2.2357 4.5469
CELL_PARAMETERS angstrom
-3.9329 3.9329 4.5469
3.9329 -3.9329 4.5469
3.9329 3.9329 -4.5469
```



(4)
# RbZnCl2

A relaxed structure of RbZnCl2 (PBE, the Alexandria database). Values from VASP.

Values from the calculation:
- N(E_F) (states/eV per cell) = 4.83
- uncorrected energy (eV per atom) = -2.46
- offset from the most stable computed form (meV/atom) = 83.0

Structure (Quantum ESPRESSO input):
```
&SYSTEM
  ibrav = 0, nat = 12, ntyp = 3
/
ATOMIC_SPECIES
Rb 85.47 Rb.upf
Zn 65.41 Zn.upf
Cl 35.45 Cl.upf
ATOMIC_POSITIONS angstrom
Rb 0.0000 0.0000 0.0000
Rb 0.0000 2.5531 17.3289
Rb 2.2110 1.2765 8.6644
Zn 0.0000 0.0000 12.9966
Zn 0.0000 2.5531 4.3322
Zn 2.2110 1.2765 21.6611
Cl 0.0000 0.0000 10.6271
Cl 0.0000 0.0000 15.3662
Cl 0.0000 2.5531 1.9627
Cl 0.0000 2.5531 6.7017
Cl 2.2110 1.2765 19.2915
Cl 2.2110 1.2765 24.0306
CELL_PARAMETERS angstrom
4.4220 0.0000 0.0000
-2.2110 3.8296 0.0000
0.0000 0.0000 25.9933
```



(5)
# RbZrCl2

A relaxed structure of RbZrCl2 (PBE, the Alexandria database). Values from VASP.

Values from the calculation:
- N(E_F) (states/eV per cell) = 6.44
- uncorrected energy (eV per atom) = -4.28
- offset from the most stable computed form (meV/atom) = 0.0

Structure (Quantum ESPRESSO input):
```
&SYSTEM
  ibrav = 0, nat = 12, ntyp = 3
/
ATOMIC_SPECIES
Rb 85.47 Rb.upf
Zr 91.22 Zr.upf
Cl 35.45 Cl.upf
ATOMIC_POSITIONS angstrom
Rb 0.0000 0.0000 0.0000
Rb 0.0000 2.1754 19.1284
Rb 1.8840 1.0877 9.5642
Zr 0.0000 0.0000 14.3463
Zr 0.0000 2.1754 4.7821
Zr 1.8840 1.0877 23.9105
Cl 0.0000 0.0000 11.8259
Cl 0.0000 0.0000 16.8667
Cl 0.0000 2.1754 2.2617
Cl 0.0000 2.1754 7.3025
Cl 1.8840 1.0877 21.3901
Cl 1.8840 1.0877 26.4309
CELL_PARAMETERS angstrom
3.7679 0.0000 0.0000
-1.8840 3.2631 0.0000
0.0000 0.0000 28.6926
```



(6)
# RbZrCl2

A relaxed structure of RbZrCl2 (PBE, the Alexandria database). Values from VASP.

Values from the calculation:
- N(E_F) (states/eV per cell) = 12.46
- uncorrected energy (eV per atom) = -3.81
- offset from the most stable computed form (meV/atom) = 475.2

Structure (Quantum ESPRESSO input):
```
&SYSTEM
  ibrav = 0, nat = 16, ntyp = 3
/
ATOMIC_SPECIES
Rb 85.47 Rb.upf
Zr 91.22 Zr.upf
Cl 35.45 Cl.upf
ATOMIC_POSITIONS angstrom
Rb 0.0000 0.0000 0.0000
Rb 0.0000 3.7353 3.7353
Rb 3.7353 0.0000 3.7353
Rb 3.7353 3.7353 0.0000
Zr 0.0000 0.0000 3.7353
Zr 0.0000 3.7353 0.0000
Zr 3.7353 0.0000 0.0000
Zr 3.7353 3.7353 3.7353
Cl 1.8676 1.8676 1.8676
Cl 1.8676 1.8676 5.6029
Cl 1.8676 5.6029 1.8676
Cl 1.8676 5.6029 5.6029
Cl 5.6029 1.8676 1.8676
Cl 5.6029 1.8676 5.6029
Cl 5.6029 5.6029 1.8676
Cl 5.6029 5.6029 5.6029
CELL_PARAMETERS angstrom
7.4706 0.0000 0.0000
0.0000 7.4706 0.0000
0.0000 0.0000 7.4706
```



(7)
# Rb2ZrCl5

A relaxed structure of Rb2ZrCl5 (PBE, the Alexandria database). Values from VASP.

Values from the calculation:
- N(E_F) (states/eV per cell) = 1.44
- uncorrected energy (eV per atom) = -4.23

Structure (Quantum ESPRESSO input):
```
&SYSTEM
  ibrav = 0, nat = 16, ntyp = 3
/
ATOMIC_SPECIES
Rb 85.47 Rb.upf
Zr 91.22 Zr.upf
Cl 35.45 Cl.upf
ATOMIC_POSITIONS angstrom
Rb 0.0000 0.0000 0.0000
Rb -2.6431 3.9900 2.9783
Rb 3.3511 0.0000 2.9783
Rb 5.9942 3.9900 0.0000
Zr -0.5550 0.0000 4.8482
Zr 5.4391 3.9900 4.8482
Cl 0.4997 3.9900 0.4559
Cl -2.1965 1.7365 5.7078
Cl -2.1965 6.2435 5.7078
Cl 0.1164 1.7345 3.1196
Cl 0.1164 6.2455 3.1196
Cl 6.4939 0.0000 0.4559
Cl 3.7977 2.2535 5.7078
Cl 3.7977 5.7265 5.7078
Cl 6.1106 2.2555 3.1196
Cl 6.1106 5.7245 3.1196
CELL_PARAMETERS angstrom
11.9884 0.0000 0.0000
0.0000 7.9800 0.0000
-5.2969 0.0000 5.9685
```



(8)
# RbZr2Cl2

A relaxed structure of RbZr2Cl2 (PBE, the Alexandria database). Values from VASP.

Values from the calculation:
- N(E_F) (states/eV per cell) = 2.74
- uncorrected energy (eV per atom) = -5.02
- offset from the most stable computed form (meV/atom) = 0.0

Structure (Quantum ESPRESSO input):
```
&SYSTEM
  ibrav = 0, nat = 10, ntyp = 3
/
ATOMIC_SPECIES
Rb 85.47 Rb.upf
Zr 91.22 Zr.upf
Cl 35.45 Cl.upf
ATOMIC_POSITIONS angstrom
Rb 0.0000 0.0000 0.0000
Rb 2.0889 2.0889 7.5993
Zr 0.0000 2.0889 3.7997
Zr 0.0000 2.0889 11.3990
Zr 2.0889 0.0000 3.7997
Zr 2.0889 0.0000 11.3990
Cl 0.0000 0.0000 5.6621
Cl 0.0000 0.0000 9.5366
Cl 2.0889 2.0889 1.9372
Cl 2.0889 2.0889 13.2614
CELL_PARAMETERS angstrom
4.1777 0.0000 0.0000
0.0000 4.1777 0.0000
0.0000 0.0000 15.1987
```



(9)
# Rb2ZrCl

A relaxed structure of Rb2ZrCl (PBE, the Alexandria database). Values from VASP.

Values from the calculation:
- N(E_F) (states/eV per cell) = 18.92
- uncorrected energy (eV per atom) = -3.01
- offset from the most stable computed form (meV/atom) = 0.0

Structure (Quantum ESPRESSO input):
```
&SYSTEM
  ibrav = 0, nat = 16, ntyp = 3
/
ATOMIC_SPECIES
Rb 85.47 Rb.upf
Zr 91.22 Zr.upf
Cl 35.45 Cl.upf
ATOMIC_POSITIONS angstrom
Rb 1.2153 3.2138 0.6331
Rb 3.2138 7.6429 1.8994
Rb 3.2138 11.6398 4.4320
Rb 5.2123 3.2138 3.1657
Rb 7.6429 9.6413 3.1657
Rb 9.6413 1.2153 4.4320
Rb 9.6413 5.2123 1.8994
Rb 11.6398 9.6413 0.6331
Zr 0.0000 0.0000 2.5326
Zr 0.0000 6.4276 3.7989
Zr 6.4276 0.0000 1.2663
Zr 6.4276 6.4276 0.0000
Cl 0.0000 0.0000 0.0000
Cl 0.0000 6.4276 1.2663
Cl 6.4276 0.0000 3.7989
Cl 6.4276 6.4276 2.5326
CELL_PARAMETERS angstrom
12.8551 0.0000 0.0000
0.0000 12.8551 0.0000
0.0000 0.0000 5.0651
```



(10)
# RbZr3Cl

A relaxed structure of RbZr3Cl (PBE, the Alexandria database). Values from VASP.

Values from the calculation:
- N(E_F) (states/eV per cell) = 3.74
- uncorrected energy (eV per atom) = -5.13
- offset from the most stable computed form (meV/atom) = 0.0

Structure (Quantum ESPRESSO input):
```
&SYSTEM
  ibrav = 0, nat = 5, ntyp = 3
/
ATOMIC_SPECIES
Rb 85.47 Rb.upf
Zr 91.22 Zr.upf
Cl 35.45 Cl.upf
ATOMIC_POSITIONS angstrom
Rb 0.0000 0.0000 0.0000
Zr 0.0000 2.5299 2.5299
Zr 2.5299 0.0000 2.5299
Zr 2.5299 2.5299 0.0000
Cl 2.5299 2.5299 2.5299
CELL_PARAMETERS angstrom
5.0598 0.0000 0.0000
0.0000 5.0598 0.0000
0.0000 0.0000 5.0598
```



(11)
# Rb2Zr3Cl9

A relaxed structure of Rb2Zr3Cl9 (PBE, the Alexandria database). Values from VASP.

Values from the calculation:
- N(E_F) (states/eV per cell) = 10.35
- uncorrected energy (eV per atom) = -4.92

Structure (Quantum ESPRESSO input):
```
&SYSTEM
  ibrav = 0, nat = 28, ntyp = 3
/
ATOMIC_SPECIES
Rb 85.47 Rb.upf
Zr 91.22 Zr.upf
Cl 35.45 Cl.upf
ATOMIC_POSITIONS angstrom
Rb 1.2865 6.0654 6.2580
Rb 5.1131 6.0654 2.9018
Rb 1.2865 -6.0654 6.2580
Rb 5.1131 -6.0654 2.9018
Zr 0.1940 1.6761 7.7784
Zr 3.3630 0.0000 1.2410
Zr 0.1940 -1.6761 7.7784
Zr 6.2055 1.6761 1.3814
Zr 3.0366 0.0000 7.9188
Zr 6.2055 -1.6761 1.3814
Cl -0.7834 3.5011 6.1623
Cl -2.0748 1.8281 8.9793
Cl -0.8677 0.0000 6.1444
Cl 1.1674 0.0000 2.5818
Cl 5.3482 3.6730 0.0000
Cl -2.0748 -1.8281 8.9793
Cl 2.2564 1.8118 6.2864
Cl -0.7834 -3.5011 6.1623
Cl 4.1431 1.8118 2.8734
Cl 2.2564 -1.8118 6.2864
Cl 7.1829 3.5011 2.9975
Cl 4.1431 -1.8118 2.8734
Cl 8.4743 1.8281 0.1805
Cl 5.3482 -3.6730 0.0000
Cl 5.2321 0.0000 6.5780
Cl 7.2672 0.0000 3.0154
Cl 8.4743 -1.8281 0.1805
Cl 7.1829 -3.5011 2.9975
CELL_PARAMETERS angstrom
5.3482 -8.9654 0.0000
5.3482 8.9654 0.0000
-4.2970 0.0000 9.1598
```



Which of these has the highest N(E_F)?
Rb2ZrCl